# 1
A plane-wave DFT calculation with GGA-PBE was carried out for crystalline TePdPbI2 at its relaxed geometry.

Lattice parameters (Å, degrees): 5.4340 5.4340 5.5058 90.00 90.00 90.00
Closest atoms and distances in Å follow each position.
Positions (direct):
1 Te 0.0000 0.0000 0.0000  2 Pd 2.75
2 Pd 0.0000 0.0000 0.5000  4 I 2.72, 2 Te 2.75
3 Pb 0.5000 0.5000 0.0000  4 Te 3.84, 8 I 3.87
4 I 0.0000 0.5000 0.5000  2 Pd 2.72
5 I 0.5000 0.0000 0.5000  2 Pd 2.72

Raw formation energy (meV/atom): -63
Total magnetization (μB per formula unit): 0.00
Polymorph energy (0 for the lowest one) (kJ per mole of atoms): 0.00

# 2
A plane-wave DFT calculation with GGA-PBE was carried out for crystalline LiTaTe2N at its relaxed geometry.

Lattice parameters (Å, degrees): 5.6316 5.6316 3.9055 90.00 90.00 90.00
Closest atoms and distances in Å follow each position.
Positions (direct):
1 Li 0.0000 0.0000 0.0000  8 Te 3.43
2 Ta 0.5000 0.5000 0.5000  2 N 1.95
3 Te 0.0000 0.5000 0.5000  2 Ta 2.82
4 Te 0.5000 0.0000 0.5000  2 Ta 2.82
5 N 0.5000 0.5000 0.0000  2 Ta 1.95

Raw formation energy (meV/atom): -164
Total magnetization (μB per formula unit): 0.00
Polymorph energy (0 for the lowest one) (kJ per mole of atoms): 0.00

# 3
A plane-wave DFT calculation with GGA-PBE was carried out for crystalline BaMgCl2 at its relaxed geometry.

Lattice parameters (Å, degrees): 15.8223 3.9225 4.9955 90.00 90.28 90.00
Closest atoms and distances in Å follow each position.
Positions (direct):
1 Ba 0.0000 0.0000 0.0000  6 Cl 3.18-3.26
2 Ba 0.5000 0.5000 0.0000  6 Cl 3.18-3.26
3 Mg 0.2113 0.5000 0.0034  2 Cl 2.78
4 Mg 0.7113 0.0000 0.0034  2 Cl 2.78
5 Cl 0.0033 0.5000 0.4999  4 Ba 3.18
6 Cl 0.3357 0.0000 0.9969  2 Mg 2.78
7 Cl 0.5033 0.0000 0.4999  4 Ba 3.18
8 Cl 0.8357 0.5000 0.9969  2 Mg 2.78

Raw formation energy (meV/atom): -1467
Total magnetization (μB per formula unit): 0.00
Polymorph energy (0 for the lowest one) (kJ per mole of atoms): 3.57

# 4
A plane-wave DFT calculation with GGA-PBE was carried out for crystalline Sr2Cu2Pt at its relaxed geometry.

Lattice parameters (Å, degrees): 4.7132 5.1586 9.4478 90.00 90.00 90.00
Closest atoms and distances in Å follow each position.
Positions (direct):
1 Sr 0.0000 0.0000 0.1897  2 Pt 3.14, 6 Cu 3.20-3.24
2 Sr 0.0000 0.0000 0.8103  2 Pt 3.14, 6 Cu 3.20-3.24
3 Sr 0.5000 0.5000 0.3103  2 Pt 3.14, 6 Cu 3.20-3.24
4 Sr 0.5000 0.5000 0.6897  2 Pt 3.14, 6 Cu 3.20-3.24
5 Cu 0.0000 0.2469 0.5000  2 Cu 2.55-2.61, 2 Pt 2.68
6 Cu 0.0000 0.7531 0.5000  2 Cu 2.55-2.61, 2 Pt 2.68
7 Cu 0.5000 0.2531 0.0000  2 Cu 2.55-2.61, 2 Pt 2.68
8 Cu 0.5000 0.7469 0.0000  2 Cu 2.55-2.61, 2 Pt 2.68
9 Pt 0.0000 0.5000 0.0000  4 Cu 2.68
10 Pt 0.5000 0.0000 0.5000  4 Cu 2.68

Formation energy (eV per atom): -0.36
Total magnetization (μB per formula unit): 0.00
Polymorph energy (0 for the lowest one) (kJ per mole of atoms): 0.00

# 5
A plane-wave DFT calculation with GGA-PBE was carried out for crystalline MgPd7Pt3 at its relaxed geometry.

Lattice parameters (Å, degrees): 5.5352 5.5352 6.7457 90.00 90.00 120.00
Closest atoms and distances in Å follow each position.
Positions (direct):
1 Mg 0.0000 0.0000 0.0000  9 Pd 2.75-2.77, 3 Pt 2.80
2 Pd 0.3333 0.6667 0.3215  9 Pd 2.77-2.79, 3 Pt 2.78
3 Pd 0.3380 0.1690 0.3289  8 Pd 2.73-2.81, 2 Pt 2.74, 1 Mg 2.75
4 Pd 0.5026 0.0053 0.9852  7 Pd 2.72-2.81, 2 Pt 2.73, 2 Mg 2.77
5 Pd 0.5026 0.4974 0.9852  7 Pd 2.72-2.81, 2 Pt 2.73, 2 Mg 2.77
6 Pd 0.8310 0.1690 0.3289  8 Pd 2.73-2.81, 2 Pt 2.74, 1 Mg 2.75
7 Pd 0.8310 0.6620 0.3289  8 Pd 2.73-2.81, 2 Pt 2.74, 1 Mg 2.75
8 Pd 0.9947 0.4974 0.9852  7 Pd 2.72-2.81, 2 Pt 2.73, 2 Mg 2.77
9 Pt 0.1662 0.3325 0.6579  5 Pd 2.73-2.78, 4 Pt 2.76-2.77, 1 Mg 2.80
10 Pt 0.1662 0.8338 0.6579  5 Pd 2.73-2.78, 4 Pt 2.76-2.77, 1 Mg 2.80
11 Pt 0.6675 0.8338 0.6579  5 Pd 2.73-2.78, 4 Pt 2.76-2.77, 1 Mg 2.80

Formation energy (eV per atom): -0.11
Total magnetization (μB per formula unit): 0.00

# 6
A plane-wave DFT calculation with GGA-PBE was carried out for crystalline CsGaAgCl6 at its relaxed geometry.

Lattice parameters (Å, degrees): 6.5340 6.5368 7.6897 92.04 92.09 115.16
Closest atoms and distances in Å follow each position.
Positions (direct):
1 Cs 0.0000 0.0000 0.0000  6 Cl 3.50-3.51
2 Ga 0.6552 0.3435 0.4996  6 Cl 2.29-2.48
3 Ag 0.3110 0.6873 0.5003  4 Cl 2.50-2.52
4 Cl 0.3580 0.0497 0.6593  1 Ga 2.48, 1 Ag 2.52
5 Cl 0.3727 0.4016 0.3117  1 Ga 2.47, 1 Ag 2.50
6 Cl 0.5981 0.6267 0.6880  1 Ga 2.47, 1 Ag 2.50
7 Cl 0.6356 0.0674 0.2981  1 Ga 2.29
8 Cl 0.9318 0.3632 0.7011  1 Ga 2.30
9 Cl 0.9496 0.6409 0.3402  1 Ga 2.48, 1 Ag 2.52

Raw formation energy (meV/atom): -1037
Total magnetization (μB per formula unit): 1.04